1.
{
  "formula": "GeAs2I8",
  "functional": "PBE",
  "state": "optimized geometry",
  "crystal_system": "monoclinic",
  "sg": "C2/m (12)",
  "dos_at_fermi_per_ev_cell": 0.0,
  "density_g_cm3": 3.7,
  "e_form_raw_ev_per_atom": -0.1456,
  "polymorph_energy_mev_per_atom": 50,
  "cell": [[7.634, -0.796, -0.556], [0.004, 8.384, -1.935], [0.004, 1.068, 8.538]],
  "species": ["As", "I", "I", "I", "I", "As", "I", "Ge", "I", "I", "I"],
  "frac_coords": [[0.390, 0.807, 0.807], [0.217, 0.063, 0.730], [0.217, 0.730, 0.063], [0.741, 0.410, 0.410], [0.783, 0.937, 0.270], [0.610, 0.193, 0.193], [0.259, 0.590, 0.590], [0.000, 0.000, 0.000], [0.757, 0.769, 0.769], [0.243, 0.231, 0.231], [0.783, 0.270, 0.937]]
}

=====

2.
{
  "formula": "CsK2Te",
  "functional": "PBE",
  "state": "optimized geometry",
  "crystal_system": "tetragonal",
  "sg": "I-42d (122)",
  "dos_at_fermi_per_ev_cell": 3.5,
  "density_g_cm3": 2.0,
  "e_form_raw_ev_per_atom": -0.6112,
  "cell": [[-2.759, -10.632, 5.079], [8.223, -5.473, -6.991], [5.391, -7.467, 1.714]],
  "species": ["K", "K", "Te", "Cs", "K", "K", "Cs", "Te"],
  "frac_coords": [[0.875, 0.732, 0.750], [0.482, 0.125, 0.250], [0.500, 0.500, 0.000], [0.000, 0.000, 0.000], [0.268, 0.625, 0.250], [0.375, 0.518, 0.750], [0.750, 0.250, 0.500], [0.250, 0.750, 0.500]]
}

=====

3.
{
  "formula": "VGaSn3",
  "functional": "PBE",
  "state": "optimized geometry",
  "crystal_system": "cubic",
  "sg": "Pm-3m (221)",
  "dos_at_fermi_per_ev_cell": 9.7,
  "formation_energy_mev_per_atom": 869,
  "density_g_cm3": 5.5,
  "polymorph_energy_mev_per_atom": 625,
  "cell": [[5.251, 0.000, 0.000], [0.000, 5.251, 0.000], [0.000, 0.000, 5.251]],
  "species": ["Sn", "V", "Sn", "Ga", "Sn"],
  "frac_coords": [[0.000, 0.000, 0.500], [0.500, 0.500, 0.500], [0.500, 0.000, 0.000], [0.000, 0.000, 0.000], [0.000, 0.500, 0.000]]
}

=====

4.
{
  "formula": "LiTm6Fe2",
  "functional": "PBE",
  "state": "optimized geometry",
  "crystal_system": "orthorhombic",
  "sg": "Immm (71)",
  "dos_at_fermi_per_ev_cell": 19.0,
  "formation_energy_mev_per_atom": -28,
  "density_g_cm3": 8.7,
  "cell": [[-3.428, 0.943, -7.453], [-2.648, -6.970, 3.549], [-2.100, 6.184, 5.053]],
  "species": ["Tm", "Tm", "Tm", "Tm", "Tm", "Tm", "Li", "Tm", "Fe", "Li", "Fe", "Fe", "Tm", "Tm", "Tm", "Tm", "Tm", "Fe"],
  "frac_coords": [[0.698, 0.007, 0.309], [0.208, 0.777, 0.985], [0.474, 0.288, 0.186], [0.792, 0.777, 0.568], [0.698, 0.389, 0.691], [0.208, 0.223, 0.432], [0.000, 0.000, 0.000], [0.526, 0.712, 0.814], [0.500, 0.391, 0.891], [0.000, 0.500, 0.500], [0.500, 0.609, 0.109], [0.618, 0.000, 0.618], [0.899, 0.712, 0.186], [0.792, 0.223, 0.015], [0.302, 0.993, 0.691], [0.101, 0.288, 0.814], [0.302, 0.611, 0.309], [0.382, 0.000, 0.382]]
}